# 1
Here is a PBEsol-optimized structure of KRb2ScF6 from the Alexandria database. Energies are from meta-GGA SCAN.

## Properties
**SG**: P2_1/c

Cell lengths 6.2996, 6.4034, 10.9377 Å; angles 90.00, 125.09, 90.00 degrees
Fractional coordinates of all 20 atoms:
K1 0.0000 0.0000 0.0000
K2 0.0000 0.5000 0.5000
Rb1 0.2581 0.0378 0.7495
Rb2 0.2581 0.4622 0.2495
Rb3 0.7419 0.5378 0.7505
Rb4 0.7419 0.9622 0.2505
Sc1 0.5000 0.0000 0.5000
Sc2 0.5000 0.5000 0.0000
F1 0.2089 0.0250 0.2809
F2 0.2089 0.4750 0.7809
F3 0.2768 0.6826 0.0338
F4 0.2768 0.8174 0.5338
F5 0.3637 0.2439 0.0426
F6 0.3637 0.2561 0.5426
F7 0.6363 0.7439 0.4574
F8 0.6363 0.7561 0.9574
F9 0.7232 0.1826 0.4662
F10 0.7232 0.3174 0.9662
F11 0.7911 0.5250 0.2191
F12 0.7911 0.9750 0.7191

# 2
Here is a PBEsol-optimized structure of K2RbScF6 from the Alexandria database. Energies are from meta-GGA SCAN.

## Properties
**SG**: Fm-3m

Cell lengths 6.4919, 6.4919, 6.4919 Å; angles 60.00, 60.00, 60.00 degrees
Fractional coordinates of all 10 atoms:
K1 0.2500 0.2500 0.2500
K2 0.7500 0.7500 0.7500
Rb1 0.0000 0.0000 0.0000
Sc1 0.5000 0.5000 0.5000
F1 0.2814 0.2814 0.7186
F2 0.2814 0.7186 0.2814
F3 0.2814 0.7186 0.7186
F4 0.7186 0.2814 0.2814
F5 0.7186 0.2814 0.7186
F6 0.7186 0.7186 0.2814

Raw formation energy in eV per atom, matching the order above: -3.531; -3.427